# 1
! Sm5AgRu2, optimized geometry, DFT PBE-GGA; values from VASP
! energy of formation from the pure elements: -220.8 kJ/mol of formula units
&SYSTEM
  ibrav = 0, nat = 16, ntyp = 3
/
ATOMIC_SPECIES
Sm 150.36 Sm.upf
Ag 107.87 Ag.upf
Ru 101.07 Ru.upf
CELL_PARAMETERS angstrom
-3.9482 3.9482 6.7239
3.9482 -3.9482 6.7239
3.9482 3.9482 -6.7239
ATOMIC_POSITIONS crystal
Sm 0.0000 0.0000 0.0000
Sm 0.0229 0.5229 0.8141
Sm 0.2089 0.0229 0.5000
Sm 0.2911 0.7911 0.8141
Sm 0.4771 0.2911 0.5000
Sm 0.5000 0.5000 0.0000
Sm 0.5229 0.7089 0.5000
Sm 0.7089 0.2089 0.1859
Sm 0.7911 0.9771 0.5000
Sm 0.9771 0.4771 0.1859
Ag 0.2500 0.2500 0.0000
Ag 0.7500 0.7500 0.0000
Ru 0.1438 0.3562 0.5000
Ru 0.3562 0.8562 0.2124
Ru 0.6438 0.1438 0.7876
Ru 0.8562 0.6438 0.5000


# 2
! Rb2HgI, optimized geometry, DFT PBE-GGA; values from VASP
! relative energy among the computed polymorphs: 2.00 kcal/mol of atoms
! raw formation energy: -72 kJ per mole of atoms
&SYSTEM
  ibrav = 0, nat = 4, ntyp = 3
/
ATOMIC_SPECIES
Rb 85.47 Rb.upf
Hg 200.59 Hg.upf
I 126.90 I.upf
CELL_PARAMETERS angstrom
2.5432 1.4683 9.3817
-2.5432 1.4683 9.3817
0.0000 -2.9367 9.3817
ATOMIC_POSITIONS crystal
Rb 0.0000 0.0000 0.0000
Rb 0.1732 0.1732 0.1732
Hg 0.7531 0.7531 0.7531
I 0.5870 0.5870 0.5870


# 3
! TbDy6Hg, optimized geometry, DFT PBE-GGA; values from VASP
! energy of formation from the pure elements: -5.3 kJ/mol of formula units
&SYSTEM
  ibrav = 0, nat = 8, ntyp = 3
/
ATOMIC_SPECIES
Tb 158.93 Tb.upf
Dy 162.50 Dy.upf
Hg 200.59 Hg.upf
CELL_PARAMETERS angstrom
4.6260 2.6708 3.3169
-4.6260 2.6708 3.3169
0.0000 -5.3417 3.3169
ATOMIC_POSITIONS crystal
Tb 0.0000 0.0000 0.0000
Dy 0.0592 0.5407 0.2596
Dy 0.2596 0.0592 0.5407
Dy 0.4593 0.7404 0.9408
Dy 0.5407 0.2596 0.0592
Dy 0.7404 0.9408 0.4593
Dy 0.9408 0.4593 0.7404
Hg 0.5000 0.5000 0.5000


# 4
! Sc2SbRu, optimized geometry, DFT PBE-GGA; values from VASP
! raw formation energy: -56 kJ per mole of atoms
&SYSTEM
  ibrav = 0, nat = 4, ntyp = 3
/
ATOMIC_SPECIES
Sc 44.96 Sc.upf
Sb 121.76 Sb.upf
Ru 101.07 Ru.upf
CELL_PARAMETERS angstrom
3.1545 -3.1593 0.0000
3.1545 3.1593 0.0000
0.0000 0.0000 3.8625
ATOMIC_POSITIONS crystal
Sc 0.0000 0.5000 0.0000
Sc 0.5000 0.0000 0.0000
Sb 0.0000 0.0000 0.5000
Ru 0.5000 0.5000 0.5000


# 5
! NaLiCa2S, optimized geometry, DFT PBE-GGA; values from VASP
! raw formation energy: -65 kJ per mole of atoms
&SYSTEM
  ibrav = 0, nat = 5, ntyp = 4
/
ATOMIC_SPECIES
Na 22.99 Na.upf
Li 6.94 Li.upf
Ca 40.08 Ca.upf
S 32.06 S.upf
CELL_PARAMETERS angstrom
5.5828 0.0000 0.0000
0.0000 5.5828 0.0000
0.0000 0.0000 4.8985
ATOMIC_POSITIONS crystal
Na 0.0000 0.0000 0.0000
Li 0.5000 0.5000 0.0000
Ca 0.0000 0.5000 0.5000
Ca 0.5000 0.0000 0.5000
S 0.5000 0.5000 0.5000


# 6
! ZrBe2MoRh, optimized geometry, DFT PBE-GGA; values from VASP
! energy of formation from the pure elements: 905.8 kJ/mol of formula units
&SYSTEM
  ibrav = 0, nat = 5, ntyp = 4
/
ATOMIC_SPECIES
Zr 91.22 Zr.upf
Be 9.01 Be.upf
Mo 95.94 Mo.upf
Rh 102.91 Rh.upf
CELL_PARAMETERS angstrom
4.4710 0.0000 0.0000
0.0000 4.4710 0.0000
0.0000 0.0000 4.6064
ATOMIC_POSITIONS crystal
Zr 0.0000 0.0000 0.0000
Be 0.0000 0.5000 0.0000
Be 0.5000 0.0000 0.0000
Mo 0.0000 0.0000 0.5000
Rh 0.5000 0.5000 0.5000


# 7
! LaCo2Ru, optimized geometry, DFT PBE-GGA; values from VASP
! energy of formation from the pure elements: 137.7 kJ/mol of formula units
&SYSTEM
  ibrav = 0, nat = 4, ntyp = 3
/
ATOMIC_SPECIES
La 138.91 La.upf
Co 58.93 Co.upf
Ru 101.07 Ru.upf
CELL_PARAMETERS angstrom
2.9279 -3.4495 0.0000
2.9279 3.4495 0.0000
0.0000 0.0000 3.2036
ATOMIC_POSITIONS crystal
La 0.0000 0.0000 0.0000
Co 0.0000 0.5000 0.5000
Co 0.5000 0.0000 0.5000
Ru 0.5000 0.5000 0.0000


# 8
! Ba3YMo, optimized geometry, DFT PBE-GGA; values from VASP
! relative energy among the computed polymorphs: 22.56 kcal/mol of atoms
! energy of formation from the pure elements: 912.5 kJ/mol of formula units
&SYSTEM
  ibrav = 0, nat = 5, ntyp = 3
/
ATOMIC_SPECIES
Ba 137.33 Ba.upf
Y 88.91 Y.upf
Mo 95.94 Mo.upf
CELL_PARAMETERS angstrom
6.2207 0.0000 0.0000
0.0000 6.2207 0.0000
0.0000 0.0000 6.2207
ATOMIC_POSITIONS crystal
Ba 0.0000 0.0000 0.5000
Ba 0.0000 0.5000 0.0000
Ba 0.5000 0.0000 0.0000
Y 0.0000 0.0000 0.0000
Mo 0.5000 0.5000 0.5000


Electronic total energy for every record listed, in sequence, given in eV/atom: -5.91; -1.70; -4.07; -7.09; -2.94; -4.96; -6.75; -2.72.